Entry 1:
Material: SrSiSb3Pd6
Method: DFT, PBE
State: optimized geometry

Cell: 7.661 7.661 4.101 Å, 90.00 90.00 120.00°
Fractional positions:
Pd 0.192 0.384 0.000
Pd 0.192 0.808 0.000
Pd 0.616 0.808 0.000
Pd 0.246 0.123 0.500
Pd 0.877 0.123 0.500
Pd 0.877 0.754 0.500
Sb 0.476 0.524 0.500
Sb 0.047 0.524 0.500
Sb 0.476 0.953 0.500
Si 0.000 0.000 0.000
Sr 0.667 0.333 0.000

## Properties
For the electronic total energy, the calculation gives -5.19 eV/atom. The crystal system is hexagonal.


Entry 2:
Material: B4IrW
Method: DFT, PBE
State: optimized geometry

Cell: 3.008 3.008 6.890 Å, 90.00 90.00 120.00°
Fractional positions:
B 0.667 0.333 0.255
B 0.333 0.667 0.255
B 0.667 0.333 0.745
B 0.333 0.667 0.745
Ir 0.000 0.000 0.000
W 0.000 0.000 0.500

## Properties
For the electronic total energy, the calculation gives -7.93 eV/atom. The crystal system is hexagonal.


Entry 3:
Material: TmNbTc
Method: DFT, PBE
State: optimized geometry

Cell: 4.503 4.503 4.503 Å, 60.00 60.00 60.00°
Fractional positions:
Nb 0.250 0.250 0.250
Tc 0.750 0.750 0.750
Tm 0.000 0.000 0.000

## Properties
The calculated formation energy is 1.34 eV per atom. The crystal system is cubic.


Entry 4:
Material: ErZrZn
Method: DFT, PBE
State: optimized geometry

Cell: 4.715 4.715 4.715 Å, 60.00 60.00 60.00°
Fractional positions:
Er 0.250 0.250 0.250
Zn 0.000 0.000 0.000
Zr 0.750 0.750 0.750

## Properties
The calculated formation energy is 0.19 eV per atom. The crystal system is cubic.


Entry 5:
Material: DyHo2In3Pt2Au
Method: DFT, PBE
State: optimized geometry

Cell: 3.786 7.784 7.784 Å, 120.05 90.00 90.00°
Fractional positions:
Au 0.000 0.000 0.000
Dy 0.000 0.592 0.592
Ho 0.000 0.408 0.000
Ho 0.000 0.000 0.408
In 0.500 0.731 0.000
In 0.500 0.269 0.269
In 0.500 0.000 0.731
Pt 0.500 0.667 0.333
Pt 0.500 0.333 0.667

## Properties
For the electronic total energy, the calculation gives -5.06 eV/atom. The crystal system is orthorhombic.


Entry 6:
Material: ZrCoSb
Method: DFT, PBE
State: optimized geometry

Cell: 6.900 6.900 3.908 Å, 90.00 90.00 120.00°
Fractional positions:
Co 0.667 0.333 0.000
Co 0.333 0.667 0.000
Co 0.000 0.000 0.500
Sb 0.276 0.000 0.000
Sb 0.000 0.276 0.000
Sb 0.724 0.724 0.000
Zr 0.608 0.000 0.500
Zr 0.392 0.392 0.500
Zr 0.000 0.608 0.500

## Properties
For the electronic total energy, the calculation gives -7.09 eV/atom. The crystal system is hexagonal.


Entry 7:
Material: Y3Er2S7
Method: DFT, PBE
State: optimized geometry

Cell: 6.667 6.667 11.574 Å, 103.97 103.97 33.10°
Fractional positions:
Er 0.888 0.888 0.078
Er 0.112 0.112 0.922
S 0.500 0.500 0.000
S 0.260 0.260 0.145
S 0.040 0.040 0.283
S 0.340 0.340 0.449
S 0.660 0.660 0.551
S 0.960 0.960 0.717
S 0.740 0.740 0.855
Y 0.700 0.700 0.311
Y 0.000 0.000 0.500
Y 0.300 0.300 0.689

## Properties
For the electronic total energy, the calculation gives -6.86 eV/atom. The crystal system is monoclinic.


Entry 8:
Material: MgOs
Method: DFT, PBE
State: optimized geometry

Cell: 5.091 7.387 4.531 Å, 90.00 90.00 69.84°
Fractional positions:
Mg 0.962 0.026 0.000
Mg 0.188 0.574 0.000
Mg 0.868 0.604 0.500
Mg 0.303 0.800 0.500
Mg 0.672 0.996 0.500
Os 0.371 0.160 0.000
Os 0.731 0.440 0.000
Os 0.613 0.800 0.000
Os 0.094 0.236 0.500
Os 0.530 0.364 0.500

## Properties
For the electronic total energy, the calculation gives -6.16 eV/atom. The crystal system is orthorhombic.